Entry 1:
Here is KMoRu2 after structural relaxation from Alexandria via LeMat-Bulk. Energies are from GGA-PBE.

Computed properties:
ΔE_f, eV/atom: 0.81
Energy above the lowest structure with this stoichiometry, meV per atom: 198

Lattice parameters (Å, degrees): 4.6672 4.6672 7.0525 98.11 98.11 36.45
Sites, in units of the cell vectors:
K: 0.0000 0.0000 0.0000
Mo: 0.5000 0.5000 0.5000
Ru: 0.2185 0.2185 0.6393
Ru: 0.7815 0.7815 0.3607

***

Entry 2:
Here is K2MoRu after structural relaxation from Alexandria via LeMat-Bulk. Energies are from GGA-PBE.

Computed properties:
ΔE_f, eV/atom: 1.37
Energy above the lowest structure with this stoichiometry, meV per atom: 640

Lattice parameters (Å, degrees): 2.7010 5.3493 5.9005 90.00 90.00 90.00
Sites, in units of the cell vectors:
K: 0.0000 0.2480 0.0000
K: 0.0000 0.7520 0.0000
Mo: 0.5000 0.5000 0.5000
Ru: 0.5000 0.0000 0.5000

***

Entry 3:
Here is KMoRu2 after structural relaxation from Alexandria via LeMat-Bulk. Energies are from GGA-PBE.

Computed properties:
ΔE_f, eV/atom: 0.91
Energy above the lowest structure with this stoichiometry, meV per atom: 301

Lattice parameters (Å, degrees): 2.7383 2.7383 10.4805 90.00 90.00 115.55
Sites, in units of the cell vectors:
K: 0.0000 0.0000 0.0000
Mo: 0.5000 0.5000 0.3035
Ru: 0.0000 0.0000 0.5144
Ru: 0.5000 0.5000 0.7258

***

Entry 4:
Here is KTlMo2Ru after structural relaxation from Alexandria via LeMat-Bulk. Energies are from GGA-PBE.

Computed properties:
ΔE_f, eV/atom: 2.30

Lattice parameters (Å, degrees): 5.3954 5.3954 5.2029 90.00 90.00 90.00
Sites, in units of the cell vectors:
K: 0.0000 0.0000 0.0000
Tl: 0.5000 0.5000 0.5000
Mo: 0.0000 0.5000 0.5000
Mo: 0.5000 0.0000 0.5000
Ru: 0.5000 0.5000 0.0000

***

Entry 5:
Here is KTlMoRu2 after structural relaxation from Alexandria via LeMat-Bulk. Energies are from GGA-PBE.

Computed properties:
ΔE_f, eV/atom: 2.28

Lattice parameters (Å, degrees): 5.1650 5.1650 5.2208 90.00 90.00 90.00
Sites, in units of the cell vectors:
K: 0.0000 0.0000 0.0000
Tl: 0.5000 0.5000 0.5000
Mo: 0.5000 0.5000 0.0000
Ru: 0.0000 0.5000 0.5000
Ru: 0.5000 0.0000 0.5000

***

Entry 6:
Here is KMo9S9 after structural relaxation from Alexandria via LeMat-Bulk. Energies are from GGA-PBE.

Computed properties:
Formation energy without anion corrections, eV per atom: -0.6511

Lattice parameters (Å, degrees): 9.0773 9.0773 13.0998 90.00 90.00 120.00
Sites, in units of the cell vectors:
K: 0.3333 0.6667 0.2500
K: 0.6667 0.3333 0.7500
Mo: 0.0330 0.1878 0.2500
Mo: 0.0344 0.1897 0.5832
Mo: 0.0344 0.1897 0.9168
Mo: 0.1552 0.9656 0.5832
Mo: 0.1552 0.9656 0.9168
Mo: 0.1548 0.9670 0.2500
Mo: 0.1878 0.1548 0.7500
Mo: 0.1897 0.1552 0.0832
Mo: 0.1897 0.1552 0.4168
Mo: 0.8103 0.8448 0.5832
Mo: 0.8103 0.8448 0.9168
Mo: 0.8122 0.8452 0.2500
Mo: 0.8452 0.0330 0.7500
Mo: 0.8448 0.0344 0.0832
Mo: 0.8448 0.0344 0.4168
Mo: 0.9656 0.8103 0.0832
Mo: 0.9656 0.8103 0.4168
Mo: 0.9670 0.8122 0.7500
S: 0.0595 0.3430 0.7500
S: 0.0632 0.3441 0.0839
S: 0.0632 0.3441 0.4161
S: 0.2809 0.9368 0.0839
S: 0.2809 0.9368 0.4161
S: 0.2836 0.9405 0.7500
S: 0.3430 0.2836 0.2500
S: 0.3441 0.2809 0.5839
S: 0.3441 0.2809 0.9161
S: 0.6559 0.7191 0.0839
S: 0.6559 0.7191 0.4161
S: 0.6570 0.7164 0.7500
S: 0.7164 0.0595 0.2500
S: 0.7191 0.0632 0.5839
S: 0.7191 0.0632 0.9161
S: 0.9368 0.6559 0.5839
S: 0.9368 0.6559 0.9161
S: 0.9405 0.6570 0.2500

***

Entry 7:
Here is K3MoS4 after structural relaxation from Alexandria via LeMat-Bulk. Energies are from GGA-PBE.

Computed properties:
Formation energy without anion corrections, eV per atom: -0.9545

Lattice parameters (Å, degrees): 12.2880 6.3855 6.3378 90.00 90.00 90.00
Sites, in units of the cell vectors:
K: 0.0000 0.1862 0.0000
K: 0.2499 0.2665 0.5501
K: 0.2501 0.7335 0.0501
K: 0.5000 0.8138 0.5000
K: 0.7501 0.2665 0.5501
K: 0.7499 0.7335 0.0501
Mo: 0.0000 0.6462 0.4388
Mo: 0.5000 0.3538 0.9388
S: 0.0000 0.2992 0.4963
S: 0.0000 0.6833 0.0862
S: 0.1615 0.7731 0.5573
S: 0.3385 0.2269 0.0573
S: 0.5000 0.3167 0.5862
S: 0.5000 0.7008 0.9963
S: 0.6615 0.2269 0.0573
S: 0.8385 0.7731 0.5573

***

Entry 8:
Here is K2MoS2 after structural relaxation from Alexandria via LeMat-Bulk. Energies are from GGA-PBE.

Computed properties:
Formation energy without anion corrections, eV per atom: 0.6027
Energy above the lowest structure with this stoichiometry, meV per atom: 170

Lattice parameters (Å, degrees): 6.0335 6.0335 6.0335 125.18 125.18 81.25
Sites, in units of the cell vectors:
K: 0.1509 0.1509 0.0000
K: 0.8491 0.8491 0.0000
Mo: 0.5000 0.5000 0.0000
S: 0.2500 0.7500 0.5000
S: 0.7500 0.2500 0.5000

***

Entry 9:
Here is KMo3S after structural relaxation from Alexandria via LeMat-Bulk. Energies are from GGA-PBE.

Computed properties:
Formation energy without anion corrections, eV per atom: 3.3307
Energy above the lowest structure with this stoichiometry, meV per atom: 2249

Lattice parameters (Å, degrees): 4.5610 4.5610 4.5610 90.00 90.00 90.00
Sites, in units of the cell vectors:
K: 0.0000 0.0000 0.0000
Mo: 0.0000 0.0000 0.5000
Mo: 0.0000 0.5000 0.0000
Mo: 0.5000 0.0000 0.0000
S: 0.5000 0.5000 0.5000

***

Entry 10:
Here is K2Mo9S11 after structural relaxation from Alexandria via LeMat-Bulk. Energies are from GGA-PBE.

Computed properties:
Formation energy without anion corrections, eV per atom: -0.7926

Lattice parameters (Å, degrees): 13.2245 13.2245 13.2245 41.58 41.58 41.58
Sites, in units of the cell vectors:
K: 0.0535 0.0535 0.0535
K: 0.4465 0.4465 0.4465
K: 0.5535 0.5535 0.5535
K: 0.9465 0.9465 0.9465
Mo: 0.0281 0.3560 0.1768
Mo: 0.0826 0.2500 0.4174
Mo: 0.1440 0.4719 0.3232
Mo: 0.1768 0.0281 0.3560
Mo: 0.2500 0.4174 0.0826
Mo: 0.3232 0.1440 0.4719
Mo: 0.3560 0.1768 0.0281
Mo: 0.4174 0.0826 0.2500
Mo: 0.4719 0.3232 0.1440
Mo: 0.5281 0.6768 0.8560
Mo: 0.5826 0.9174 0.7500
Mo: 0.6440 0.8232 0.9719
Mo: 0.6768 0.8560 0.5281
Mo: 0.7500 0.5826 0.9174
Mo: 0.8232 0.9719 0.6440
Mo: 0.8560 0.5281 0.6768
Mo: 0.9174 0.7500 0.5826
Mo: 0.9719 0.6440 0.8232
S: 0.0160 0.2858 0.6216
S: 0.0541 0.4459 0.7500
S: 0.1216 0.7858 0.5160
S: 0.1361 0.1361 0.1361
S: 0.2142 0.4840 0.8784
S: 0.2500 0.9459 0.5541
S: 0.2858 0.6216 0.0160
S: 0.3639 0.3639 0.3639
S: 0.3784 0.9840 0.7142
S: 0.4459 0.7500 0.0541
S: 0.4840 0.8784 0.2142
S: 0.5160 0.1216 0.7858
S: 0.5541 0.2500 0.9459
S: 0.6216 0.0160 0.2858
S: 0.6361 0.6361 0.6361
S: 0.7142 0.3784 0.9840
S: 0.7500 0.0541 0.4459
S: 0.7858 0.5160 0.1216
S: 0.8639 0.8639 0.8639
S: 0.8784 0.2142 0.4840
S: 0.9459 0.5541 0.2500
S: 0.9840 0.7142 0.3784

***

Entry 11:
Here is K3Mo5S12 after structural relaxation from Alexandria via LeMat-Bulk. Energies are from GGA-PBE.

Computed properties:
Formation energy without anion corrections, eV per atom: -0.5957

Lattice parameters (Å, degrees): 13.5948 13.5948 13.5948 109.47 109.47 109.47
Sites, in units of the cell vectors:
K: 0.1250 0.2500 0.3750
K: 0.1250 0.3750 0.7500
K: 0.2500 0.3750 0.1250
K: 0.2500 0.8750 0.6250
K: 0.3750 0.1250 0.2500
K: 0.3750 0.7500 0.1250
K: 0.6250 0.2500 0.8750
K: 0.6250 0.8750 0.7500
K: 0.7500 0.1250 0.3750
K: 0.7500 0.6250 0.8750
K: 0.8750 0.6250 0.2500
K: 0.8750 0.7500 0.6250
Mo: 0.0000 0.0000 0.0000
Mo: 0.0000 0.0000 0.5000
Mo: 0.0000 0.5000 0.0000
Mo: 0.0000 0.5000 0.5000
Mo: 0.1250 0.7500 0.8750
Mo: 0.1250 0.8750 0.2500
Mo: 0.2500 0.1250 0.8750
Mo: 0.2500 0.6250 0.3750
Mo: 0.3750 0.2500 0.6250
Mo: 0.3750 0.6250 0.7500
Mo: 0.5000 0.0000 0.0000
Mo: 0.5000 0.0000 0.5000
Mo: 0.5000 0.5000 0.0000
Mo: 0.5000 0.5000 0.5000
Mo: 0.6250 0.3750 0.2500
Mo: 0.6250 0.7500 0.3750
Mo: 0.7500 0.3750 0.6250
Mo: 0.7500 0.8750 0.1250
Mo: 0.8750 0.1250 0.7500
Mo: 0.8750 0.2500 0.1250
S: 0.0024 0.1861 0.1029
S: 0.0024 0.3163 0.8995
S: 0.0832 0.6861 0.6837
S: 0.0832 0.8971 0.3995
S: 0.1005 0.6029 0.4168
S: 0.1005 0.9976 0.6837
S: 0.1029 0.0024 0.1861
S: 0.1029 0.6005 0.9168
S: 0.1837 0.1861 0.5832
S: 0.1837 0.4976 0.6005
S: 0.1861 0.1029 0.0024
S: 0.1861 0.5832 0.1837
S: 0.3139 0.3163 0.9168
S: 0.3139 0.4976 0.3971
S: 0.3163 0.8995 0.0024
S: 0.3163 0.9168 0.3139
S: 0.3971 0.3139 0.4976
S: 0.3971 0.5832 0.8995
S: 0.3995 0.0832 0.8971
S: 0.3995 0.8163 0.5024
S: 0.4168 0.1005 0.6029
S: 0.4168 0.8163 0.8139
S: 0.4976 0.3971 0.3139
S: 0.4976 0.6005 0.1837
S: 0.5024 0.3995 0.8163
S: 0.5024 0.6029 0.6861
S: 0.5832 0.1837 0.1861
S: 0.5832 0.8995 0.3971
S: 0.6005 0.1837 0.4976
S: 0.6005 0.9168 0.1029
S: 0.6029 0.4168 0.1005
S: 0.6029 0.6861 0.5024
S: 0.6837 0.0832 0.6861
S: 0.6837 0.1005 0.9976
S: 0.6861 0.5024 0.6029
S: 0.6861 0.6837 0.0832
S: 0.8139 0.4168 0.8163
S: 0.8139 0.8971 0.9976
S: 0.8163 0.5024 0.3995
S: 0.8163 0.8139 0.4168
S: 0.8971 0.3995 0.0832
S: 0.8971 0.9976 0.8139
S: 0.8995 0.0024 0.3163
S: 0.8995 0.3971 0.5832
S: 0.9168 0.1029 0.6005
S: 0.9168 0.3139 0.3163
S: 0.9976 0.6837 0.1005
S: 0.9976 0.8139 0.8971

***

Entry 12:
Here is K2MoS after structural relaxation from Alexandria via LeMat-Bulk. Energies are from GGA-PBE.

Computed properties:
Formation energy without anion corrections, eV per atom: 0.2215

Lattice parameters (Å, degrees): 8.9867 8.9867 8.9867 93.80 93.80 150.17
Sites, in units of the cell vectors:
K: 0.3750 0.1868 0.3118
K: 0.8132 0.1250 0.1882
K: 0.8750 0.0632 0.6882
K: 0.9368 0.6250 0.8118
Mo: 0.2500 0.7500 0.5000
Mo: 0.5000 0.5000 0.0000
S: 0.0000 0.0000 0.0000
S: 0.7500 0.2500 0.5000

***

Entry 13:
Here is K2MoS2 after structural relaxation from Alexandria via LeMat-Bulk. Energies are from GGA-PBE.

Computed properties:
Formation energy without anion corrections, eV per atom: 0.4325
Energy above the lowest structure with this stoichiometry, meV per atom: 0

Lattice parameters (Å, degrees): 8.3997 8.3997 3.6138 90.00 90.00 90.00
Sites, in units of the cell vectors:
K: 0.1185 0.3815 0.0000
K: 0.3815 0.8815 0.0000
K: 0.6185 0.1185 0.0000
K: 0.8815 0.6185 0.0000
Mo: 0.0000 0.0000 0.0000
Mo: 0.5000 0.5000 0.0000
S: 0.1870 0.6870 0.5000
S: 0.3130 0.1870 0.5000
S: 0.6870 0.8130 0.5000
S: 0.8130 0.3130 0.5000

***

Entry 14:
Here is K2Mo15S19 after structural relaxation from Alexandria via LeMat-Bulk. Energies are from GGA-PBE.

Computed properties:
Formation energy without anion corrections, eV per atom: -0.7613

Lattice parameters (Å, degrees): 19.6891 19.6891 19.6891 27.85 27.85 27.85
Sites, in units of the cell vectors:
K: 0.1121 0.1121 0.1121
K: 0.3879 0.3879 0.3879
K: 0.6121 0.6121 0.6121
K: 0.8879 0.8879 0.8879
Mo: 0.0033 0.8652 0.1934
Mo: 0.0402 0.3695 0.2187
Mo: 0.0849 0.2500 0.4151
Mo: 0.1305 0.4598 0.2813
Mo: 0.1348 0.8066 0.9967
Mo: 0.1934 0.0033 0.8652
Mo: 0.2187 0.0402 0.3695
Mo: 0.2500 0.4151 0.0849
Mo: 0.2813 0.1305 0.4598
Mo: 0.3066 0.6348 0.4967
Mo: 0.3652 0.5033 0.6934
Mo: 0.3695 0.2187 0.0402
Mo: 0.4151 0.0849 0.2500
Mo: 0.4598 0.2813 0.1305
Mo: 0.4967 0.3066 0.6348
Mo: 0.5033 0.6934 0.3652
Mo: 0.5402 0.7187 0.8695
Mo: 0.5849 0.9151 0.7500
Mo: 0.6305 0.7813 0.9598
Mo: 0.6348 0.4967 0.3066
Mo: 0.6934 0.3652 0.5033
Mo: 0.7187 0.8695 0.5402
Mo: 0.7500 0.5849 0.9151
Mo: 0.7813 0.9598 0.6305
Mo: 0.8066 0.9967 0.1348
Mo: 0.8652 0.1934 0.0033
Mo: 0.8695 0.5402 0.7187
Mo: 0.9151 0.7500 0.5849
Mo: 0.9598 0.6305 0.7813
Mo: 0.9967 0.1348 0.8066
S: 0.0211 0.6936 0.4273
S: 0.0481 0.2979 0.7031
S: 0.0513 0.4487 0.7500
S: 0.0535 0.0535 0.0535
S: 0.0727 0.8064 0.4789
S: 0.1768 0.1768 0.1768
S: 0.1936 0.5211 0.9273
S: 0.2021 0.4519 0.7969
S: 0.2031 0.7979 0.5481
S: 0.2500 0.9487 0.5513
S: 0.2969 0.9519 0.7021
S: 0.2979 0.7031 0.0481
S: 0.3064 0.5727 0.9789
S: 0.3232 0.3232 0.3232
S: 0.4273 0.0211 0.6936
S: 0.4465 0.4465 0.4465
S: 0.4487 0.7500 0.0513
S: 0.4519 0.7969 0.2021
S: 0.4789 0.0727 0.8064
S: 0.5211 0.9273 0.1936
S: 0.5481 0.2031 0.7979
S: 0.5513 0.2500 0.9487
S: 0.5535 0.5535 0.5535
S: 0.5727 0.9789 0.3064
S: 0.6768 0.6768 0.6768
S: 0.6936 0.4273 0.0211
S: 0.7021 0.2969 0.9519
S: 0.7031 0.0481 0.2979
S: 0.7500 0.0513 0.4487
S: 0.7969 0.2021 0.4519
S: 0.7979 0.5481 0.2031
S: 0.8064 0.4789 0.0727
S: 0.8232 0.8232 0.8232
S: 0.9273 0.1936 0.5211
S: 0.9465 0.9465 0.9465
S: 0.9487 0.5513 0.2500
S: 0.9519 0.7021 0.2969
S: 0.9789 0.3064 0.5727

***

Entry 15:
Here is KMo3S after structural relaxation from Alexandria via LeMat-Bulk. Energies are from GGA-PBE.

Computed properties:
Formation energy without anion corrections, eV per atom: 1.0817
Energy above the lowest structure with this stoichiometry, meV per atom: 0

Lattice parameters (Å, degrees): 4.6018 4.6018 4.6018 90.00 90.00 90.00
Sites, in units of the cell vectors:
K: 0.0000 0.0000 0.0000
Mo: 0.0000 0.5000 0.5000
Mo: 0.5000 0.0000 0.5000
Mo: 0.5000 0.5000 0.0000
S: 0.5000 0.5000 0.5000